No. 1
Computed, not measured: a relaxed Y2HoCd5 crystal at the PBE level of DFT.

abc: 5.130 5.130 8.324
angles: 107.95 107.95 90.00
Fractional positions:
Cd1 0.119 0.619 0.237
Cd2 0.500 0.500 0.000
Cd3 0.619 0.119 0.237
Cd4 0.381 0.881 0.763
Cd5 0.881 0.381 0.763
Y1 0.739 0.739 0.479
Y2 0.261 0.261 0.521
Ho1 0.000 0.000 0.000

Crystal system: tetragonal

=====

No. 2
Computed, not measured: a relaxed MnVSe4 crystal at the PBE level of DFT.

abc: 3.440 6.098 7.329
angles: 65.62 76.46 90.00
Fractional positions:
Se1 0.885 0.558 0.231
Se2 0.386 0.052 0.229
Se3 0.115 0.442 0.769
Se4 0.614 0.948 0.771
V1 0.500 0.500 0.000
Mn1 0.000 0.000 0.000

Crystal system: monoclinic
Formation energy (no corrections), eV per formula unit: -3.4

=====

Result set for DOS(E_F): 0.426; 0.355 states/eV/atom, one per record in the order listed.
Result set for total magnetic moment: 0.0; 4.0 μB/f.u., one per record in the order listed.
Result set for electronic total energy: -3.074; -5.935 eV per atom, one per record in the order listed.